Record 1
## CuTcSbPd (PBE-GGA)

Data for crystalline CuTcSbPd at its relaxed geometry.

Results
- Energy above the lowest structure with this stoichiometry: 0 meV/atom
- Size of the total moment: 0.00 μB per cell

Cell lengths 4.473, 4.473, 4.473 Å; angles 60.00, 60.00, 60.00 degrees
Positions (direct):
Cu  0.000  0.000  0.000
Tc  0.500  0.500  0.500
Sb  0.750  0.750  0.750
Pd  0.250  0.250  0.250


Record 2
## ScCu4Pd (PBE-GGA)

Data for crystalline ScCu4Pd at its relaxed geometry.

Results
- Calculated formation energy: -0.344 eV per atom
- Size of the total moment: 0.00 μB per cell

Cell lengths 4.884, 4.884, 4.884 Å; angles 60.00, 60.00, 60.00 degrees
Positions (direct):
Sc  0.000  0.000  0.000
Cu  0.126  0.625  0.625
Cu  0.625  0.126  0.625
Cu  0.625  0.625  0.126
Cu  0.625  0.625  0.625
Pd  0.250  0.250  0.250